Entry 1:
# HoPuTh2S4

Crystalline HoPuTh2S4 at its relaxed geometry (PBE-GGA, Alexandria).

Values from the calculation:
SG: No. 10
Energy relative to the elements, uncorrected: -1.86 eV per atom
Total magnetic moment: 0.673 μB per atom

abc: 6.817 3.940 7.011
angles: 90.00 108.97 90.00
Positions (direct):
Ho (0.000, 0.000, 0.000)
Pu (0.500, 0.500, 0.000)
Th (0.000, 0.500, 0.500)
Th (0.500, 0.000, 0.500)
S (0.242, 0.500, 0.235)
S (0.252, 0.000, 0.764)
S (0.748, 0.000, 0.236)
S (0.758, 0.500, 0.765)

---

Entry 2:
# La2Si7Au12

Crystalline La2Si7Au12 at its relaxed geometry (PBE-GGA, Alexandria).

Values from the calculation:
SG: No. 147
Energy relative to the elements, uncorrected: -0.29 eV per atom
Total magnetic moment: 0.000 μB per atom

abc: 10.116 10.116 4.473
angles: 90.00 90.00 120.00
Positions (direct):
La (0.333, 0.667, 0.240)
La (0.667, 0.333, 0.760)
Si (0.000, 0.000, 0.500)
Si (0.111, 0.395, 0.719)
Si (0.284, 0.889, 0.719)
Si (0.395, 0.284, 0.281)
Si (0.605, 0.716, 0.719)
Si (0.716, 0.111, 0.281)
Si (0.889, 0.605, 0.281)
Au (0.067, 0.614, 0.754)
Au (0.123, 0.861, 0.212)
Au (0.139, 0.261, 0.212)
Au (0.261, 0.123, 0.788)
Au (0.386, 0.453, 0.754)
Au (0.453, 0.067, 0.246)
Au (0.547, 0.933, 0.754)
Au (0.614, 0.547, 0.246)
Au (0.739, 0.877, 0.212)
Au (0.861, 0.739, 0.788)
Au (0.877, 0.139, 0.788)
Au (0.933, 0.386, 0.246)

---

Entry 3:
# OsPb2W

Crystalline OsPb2W at its relaxed geometry (PBE-GGA, Alexandria).

Values from the calculation:
SG: No. 122
Formation energy from the elements: 1.57 eV per atom
Total magnetic moment: 0.319 μB per atom

abc: 6.272 6.272 6.272
angles: 101.69 101.69 126.50
Positions (direct):
Os (0.000, 0.000, 0.000)
Os (0.750, 0.250, 0.500)
Pb (0.102, 0.625, 0.977)
Pb (0.375, 0.352, 0.477)
Pb (0.648, 0.125, 0.023)
Pb (0.875, 0.898, 0.523)
W (0.250, 0.750, 0.500)
W (0.500, 0.500, 0.000)

---

Entry 4:
# CePmY

Crystalline CePmY at its relaxed geometry (PBE-GGA, Alexandria).

Values from the calculation:
SG: No. 12
Formation energy from the elements: 0.10 eV per atom
Total magnetic moment: 0.185 μB per atom

abc: 6.771 6.771 9.807
angles: 119.65 119.65 29.63
Positions (direct):
Ce (0.113, 0.113, 0.009)
Ce (0.887, 0.887, 0.991)
Pm (0.387, 0.387, 0.660)
Pm (0.613, 0.613, 0.340)
Y (0.131, 0.131, 0.679)
Y (0.869, 0.869, 0.321)

---

Entry 5:
# Ni2SbTe2

Crystalline Ni2SbTe2 at its relaxed geometry (PBE-GGA, Alexandria).

Values from the calculation:
SG: No. 127
Energy relative to the elements, uncorrected: 0.13 eV per atom
Total magnetic moment: 0.000 μB per atom

abc: 7.429 7.429 3.567
angles: 90.00 90.00 90.00
Positions (direct):
Ni (0.121, 0.379, 0.000)
Ni (0.379, 0.879, 0.000)
Ni (0.621, 0.121, 0.000)
Ni (0.879, 0.621, 0.000)
Sb (0.000, 0.000, 0.000)
Sb (0.500, 0.500, 0.000)
Te (0.156, 0.656, 0.500)
Te (0.344, 0.156, 0.500)
Te (0.656, 0.844, 0.500)
Te (0.844, 0.344, 0.500)

---

Entry 6:
# BeReTc2

Crystalline BeReTc2 at its relaxed geometry (PBE-GGA, Alexandria).

Values from the calculation:
SG: No. 35
Formation energy from the elements: 0.21 eV per atom
Total magnetic moment: 0.000 μB per atom

abc: 2.649 2.649 8.407
angles: 90.00 90.00 112.96
Positions (direct):
Be (0.000, 0.000, 0.000)
Re (0.500, 0.500, 0.767)
Tc (0.000, 0.000, 0.497)
Tc (0.500, 0.500, 0.229)

---

Entry 7:
# Er12Tm7Bi

Crystalline Er12Tm7Bi at its relaxed geometry (PBE-GGA, Alexandria).

Values from the calculation:
SG: No. 148
Formation energy from the elements: 0.14 eV per atom
Total magnetic moment: 0.000 μB per atom

abc: 8.534 8.534 8.534
angles: 87.90 87.90 87.90
Positions (direct):
Er (0.000, 0.358, 0.883)
Er (0.000, 0.642, 0.117)
Er (0.117, 0.000, 0.642)
Er (0.238, 0.635, 0.761)
Er (0.239, 0.762, 0.365)
Er (0.358, 0.883, 0.000)
Er (0.365, 0.239, 0.762)
Er (0.635, 0.761, 0.238)
Er (0.642, 0.117, 0.000)
Er (0.761, 0.238, 0.635)
Er (0.762, 0.365, 0.239)
Er (0.883, 0.000, 0.358)
Tm (0.000, 0.000, 0.000)
Tm (0.111, 0.352, 0.434)
Tm (0.352, 0.434, 0.111)
Tm (0.434, 0.111, 0.352)
Tm (0.566, 0.889, 0.648)
Tm (0.648, 0.566, 0.889)
Tm (0.889, 0.648, 0.566)
Bi (0.500, 0.500, 0.500)

---

Entry 8:
# MgMnOs4

Crystalline MgMnOs4 at its relaxed geometry (PBE-GGA, Alexandria).

Values from the calculation:
SG: No. 216
Formation energy from the elements: 0.43 eV per atom
Total magnetic moment: 0.474 μB per atom

abc: 5.165 5.165 5.165
angles: 60.00 60.00 60.00
Positions (direct):
Mg (0.000, 0.000, 0.000)
Mn (0.750, 0.750, 0.750)
Os (0.375, 0.375, 0.375)
Os (0.375, 0.375, 0.875)
Os (0.375, 0.875, 0.375)
Os (0.875, 0.375, 0.375)

---

Entry 9:
# Ho2FeCo

Crystalline Ho2FeCo at its relaxed geometry (PBE-GGA, Alexandria).

Values from the calculation:
SG: No. 166
Formation energy from the elements: 0.59 eV per atom
Total magnetic moment: 0.567 μB per atom

abc: 9.302 9.302 9.302
angles: 20.49 20.49 20.49
Positions (direct):
Ho (0.099, 0.099, 0.099)
Ho (0.901, 0.901, 0.901)
Fe (0.000, 0.000, 0.000)
Co (0.500, 0.500, 0.500)

---

Entry 10:
# MnMoRh2

Crystalline MnMoRh2 at its relaxed geometry (PBE-GGA, Alexandria).

Values from the calculation:
SG: No. 216
Formation energy from the elements: 0.09 eV per atom
Total magnetic moment: 0.708 μB per atom

abc: 4.339 4.339 4.339
angles: 60.00 60.00 60.00
Positions (direct):
Mn (0.000, 0.000, 0.000)
Mo (0.750, 0.750, 0.750)
Rh (0.250, 0.250, 0.250)
Rh (0.500, 0.500, 0.500)

---

Entry 11:
# BaCrRh

Crystalline BaCrRh at its relaxed geometry (PBE-GGA, Alexandria).

Values from the calculation:
SG: No. 216
Formation energy from the elements: 0.61 eV per atom
Total magnetic moment: 1.600 μB per atom

abc: 4.872 4.872 4.872
angles: 60.00 60.00 60.00
Positions (direct):
Ba (0.000, 0.000, 0.000)
Cr (0.500, 0.500, 0.500)
Rh (0.750, 0.750, 0.750)

---

Entry 12:
# PaTlTeO5

Crystalline PaTlTeO5 at its relaxed geometry (PBE-GGA, Alexandria).

Values from the calculation:
SG: No. 15
Energy relative to the elements, uncorrected: -2.00 eV per atom
Total magnetic moment: 0.000 μB per atom

abc: 6.464 6.464 8.529
angles: 106.45 106.45 101.93
Positions (direct):
Pa (0.000, 0.500, 0.000)
Pa (0.500, 0.000, 0.500)
Tl (0.069, 0.931, 0.750)
Tl (0.931, 0.069, 0.250)
Te (0.461, 0.539, 0.750)
Te (0.539, 0.461, 0.250)
O (0.182, 0.279, 0.065)
O (0.235, 0.765, 0.250)
O (0.264, 0.598, 0.876)
O (0.279, 0.182, 0.565)
O (0.402, 0.736, 0.624)
O (0.598, 0.264, 0.376)
O (0.721, 0.818, 0.435)
O (0.736, 0.402, 0.124)
O (0.765, 0.235, 0.750)
O (0.818, 0.721, 0.935)